(1)
PBE-GGA NaDyHgSe3, optimized geometry; E = -93.0 eV/cell; space-group type = Pnma; magnetization = 0.00 μB per cell
1.0
-6.2870 -8.3549 -7.5243
-2.2946 -1.1911 3.2399
-8.2535 8.6206 -2.6760
Dy Hg Na Se
4 4 4 12
Cartesian
-7.9524 -6.7418 -6.7850 Dy
-6.1027 -1.2130 -3.4424 Dy
-10.7322 0.2875 -3.5180 Dy
-8.8826 5.8163 -0.1754 Dy
-4.9007 -1.0783 0.1099 Hg
-8.7659 -4.5019 -3.8862 Hg
-8.0691 3.5765 -3.0742 Hg
-11.9343 0.1528 -7.0703 Hg
-5.7409 -6.1156 -2.3372 Na
-6.6230 2.2665 0.1198 Na
-10.2120 -3.1919 -7.0802 Na
-11.0941 5.1901 -4.6233 Na
-2.8187 -0.8711 1.6606 Se
-6.3774 -5.1745 -5.0934 Se
-5.8032 -3.2116 -1.3136 Se
-10.4554 -5.8132 -5.5649 Se
-4.9708 0.8171 -1.8943 Se
-8.8408 -2.0419 -3.0349 Se
-7.9942 1.1164 -3.9256 Se
-11.8642 -1.7425 -5.0661 Se
-6.3796 4.8878 -1.3955 Se
-11.0318 2.2861 -5.6468 Se
-10.4576 4.2490 -1.8670 Se
-14.0163 -0.0544 -8.6210 Se

=====

(2)
PBE-GGA ErTm2Al3AgGe2, optimized geometry; E = -42.2 eV/cell; space-group type = Amm2; magnetization = 0.00 μB per cell
1.0
-2.2728 -3.2284 -1.5345
5.8842 -3.1374 -2.1147
-2.5325 -1.2584 6.3986
Ag Al Er Ge Tm
1 3 1 2 2
Cartesian
0.0033 -0.0043 0.0042 Ag
3.3258 -3.9939 -2.3698 Al
-0.3269 -2.6759 0.2674 Al
-3.0559 -2.5692 4.0852 Al
1.9668 -2.5795 2.5139 Er
1.9451 -4.1249 -0.0492 Ge
-0.8681 -3.4968 2.7962 Ge
4.8374 -3.6562 0.5274 Tm
-0.1027 -2.5534 5.5241 Tm

=====

(3)
PBE-GGA Pa2AgHg2, optimized geometry; space-group type = P6_3/mmc; ΔE_f = 0.39 eV/atom; magnetization = 2.48 μB per cell
1.0
-3.0198 -2.4407 -3.1097
4.8456 0.4098 -1.0482
2.1509 -10.2328 5.9426
Ag Hg Pa
2 4 4
Cartesian
0.5377 -2.5582 1.4857 Ag
1.6132 -7.6746 4.4570 Ag
-0.1668 -2.5907 -1.7837 Hg
0.4462 -5.5068 -0.0901 Hg
3.5305 -6.7569 1.8748 Hg
4.1435 -9.6730 3.5684 Hg
0.0000 0.0000 0.0000 Pa
2.7615 -3.0986 -0.2497 Pa
1.0754 -5.1164 2.9713 Pa
1.2152 -9.1651 2.0344 Pa

=====

(4)
PBE-GGA SrCuP, optimized geometry; E = -37.8 eV/cell; space-group type = P-62m
1.0
-5.9772 3.2826 -1.4371
0.4838 -6.8976 -0.8697
-1.3077 -0.6036 4.0600
Cu P Sr
3 3 3
Cartesian
-1.3982 0.7678 -0.3362 Cu
0.1132 -1.6135 -0.2034 Cu
-4.2084 -2.7694 -1.7672 Cu
-3.8235 -0.1108 -1.2480 P
-1.6699 -3.5042 -1.0588 P
-0.6538 -0.3018 2.0300 P
-4.1088 1.5956 1.1993 Sr
-2.9719 -1.8272 1.0566 Sr
-0.3742 -4.2888 1.5273 Sr

=====

(5)
PBE-GGA Pr3Al3Cu2Ni, optimized geometry; E = -42.3 eV/cell; space-group type = P-62m; magnetization = 0.00 μB per cell
1.0
7.1583 0.0000 0.0000
-3.5791 6.1993 0.0000
0.0000 0.0000 4.1892
Al Cu Ni Pr
3 2 1 3
Cartesian
1.5941 0.0000 0.0000 Al
-0.7970 1.3805 0.0000 Al
2.7821 4.8187 0.0000 Al
3.5791 2.0664 0.0000 Cu
0.0000 4.1328 0.0000 Cu
0.0000 0.0000 2.0946 Ni
4.2012 0.0000 2.0946 Pr
1.4785 2.5609 2.0946 Pr
-2.1006 3.6384 2.0946 Pr

=====

(6)
PBE-GGA Li2Nb2Al2IrPd, optimized geometry; E = -49.1 eV/cell; space-group type = P-4m2; magnetization = 0.68 μB per cell
1.0
-3.8019 -1.7513 -1.3062
0.5576 -3.3126 2.8185
-2.9801 3.2130 4.3659
Al Ir Li Nb Pd
2 1 2 2 1
Cartesian
-0.4728 -0.8459 2.5104 Al
-4.1294 1.5270 2.6117 Al
0.0000 0.0000 0.0000 Ir
-1.6222 -2.5320 0.7561 Li
-1.4900 1.6065 2.1829 Li
-2.6246 -0.0954 0.4071 Nb
-1.9776 0.7765 4.7149 Nb
-3.1122 -0.9255 2.9391 Pd